Here is a geometry-optimized ZnIn3Pb structure from Alexandria via LeMat-Bulk. Energies are from GGA-PBE.

Computed properties:
ΔE to the lowest computed polymorph = 369 meV per atom
formation enthalpy at 0 K = 3.05 eV/f.u.

Cell lengths 5.988, 5.988, 5.988 Å; angles 90.00, 90.00, 90.00 degrees
Atoms (fractional coordinates):
Zn1 0.000 0.000 0.000
In1 0.000 0.500 0.500
In2 0.500 0.000 0.500
In3 0.500 0.500 0.000
Pb1 0.500 0.500 0.500

---

Here is a geometry-optimized CeY2Tl3Te6 structure from Alexandria via LeMat-Bulk. Energies are from GGA-PBE.

Computed properties:
uncorrected formation energy = -1.044 eV per atom

Cell lengths 7.800, 7.800, 8.586 Å; angles 98.71, 98.71, 119.98 degrees
Atoms (fractional coordinates):
Ce1 0.000 0.000 0.000
Y1 0.333 0.667 0.000
Y2 0.667 0.333 0.000
Tl1 0.165 0.835 0.500
Tl2 0.500 0.500 0.500
Tl3 0.835 0.165 0.500
Te1 0.072 0.413 0.216
Te2 0.270 0.270 0.786
Te3 0.413 0.072 0.216
Te4 0.587 0.928 0.784
Te5 0.730 0.730 0.214
Te6 0.928 0.587 0.784

---

Here is a geometry-optimized Pm3GaRh2 structure from Alexandria via LeMat-Bulk. Energies are from GGA-PBE.

Computed properties:
ΔE to the lowest computed polymorph = 0 meV per atom
formation enthalpy at 0 K = -4.03 eV/f.u.

Cell lengths 12.141, 3.944, 12.190 Å; angles 90.00, 90.00, 90.00 degrees
Atoms (fractional coordinates):
Pm1 0.060 0.250 0.123
Pm2 0.130 0.750 0.569
Pm3 0.198 0.250 0.821
Pm4 0.302 0.750 0.321
Pm5 0.370 0.250 0.069
Pm6 0.440 0.750 0.623
Pm7 0.560 0.250 0.377
Pm8 0.630 0.750 0.931
Pm9 0.698 0.250 0.679
Pm10 0.802 0.750 0.179
Pm11 0.870 0.250 0.431
Pm12 0.940 0.750 0.877
Ga1 0.120 0.250 0.370
Ga2 0.380 0.750 0.870
Ga3 0.620 0.250 0.130
Ga4 0.880 0.750 0.630
Rh1 0.008 0.750 0.304
Rh2 0.192 0.750 0.989
Rh3 0.308 0.250 0.489
Rh4 0.492 0.250 0.804
Rh5 0.508 0.750 0.196
Rh6 0.692 0.750 0.511
Rh7 0.808 0.250 0.011
Rh8 0.992 0.250 0.696

---

Here is a geometry-optimized Ce2Ga3SiPd4 structure from Alexandria via LeMat-Bulk. Energies are from GGA-PBE.

Computed properties:
uncorrected formation energy = -0.769 eV per atom

Cell lengths 4.317, 4.317, 10.180 Å; angles 90.00, 90.00, 90.00 degrees
Atoms (fractional coordinates):
Ce1 0.000 0.500 0.242
Ce2 0.500 0.000 0.758
Ga1 0.000 0.000 0.000
Ga2 0.000 0.500 0.631
Ga3 0.500 0.000 0.369
Si1 0.500 0.500 0.000
Pd1 0.000 0.000 0.500
Pd2 0.000 0.500 0.876
Pd3 0.500 0.000 0.124
Pd4 0.500 0.500 0.500

---

Here is a geometry-optimized Ac2AgSn structure from Alexandria via LeMat-Bulk. Energies are from GGA-PBE.

Computed properties:
formation enthalpy at 0 K = -1.95 eV/f.u.

Cell lengths 6.711, 4.826, 9.038 Å; angles 90.00, 111.08, 90.00 degrees
Atoms (fractional coordinates):
Ac1 0.215 0.250 0.438
Ac2 0.216 0.250 0.915
Ac3 0.784 0.750 0.085
Ac4 0.785 0.750 0.562
Ag1 0.365 0.750 0.715
Ag2 0.635 0.250 0.285
Sn1 0.332 0.750 0.207
Sn2 0.668 0.250 0.793

---

no.,size of the total moment (μB/f.u.)
1,0.00
2,1.00
3,0.00
4,1.63
5,0.34